Compound: Sc3Fe5O12
Source: Alexandria
Functional: GGA+U
Structure: relaxed

## Properties
magnetization	68.00	Bohr magnetons per cell
E_tot	-0.26597	Ha/atom

The structure in extended XYZ format:
```
80
Lattice="-6.0389 6.0389 6.0389 6.0389 -6.0389 6.0389 6.0389 6.0389 -6.0389" Properties=species:S:1:pos:R:3 pbc="T T T"
Sc 3.0194 1.5097 0.0000
Sc 6.0389 3.0194 -1.5097
Sc 1.5097 0.0000 3.0194
Sc 7.5486 0.0000 3.0194
Sc 0.0000 3.0194 1.5097
Sc 3.0194 -1.5097 6.0389
Sc 3.0194 7.5486 0.0000
Sc 6.0389 3.0194 4.5291
Sc -1.5097 6.0389 3.0194
Sc 4.5291 6.0389 3.0194
Sc 0.0000 3.0194 7.5486
Sc 3.0194 4.5291 6.0389
Fe 0.0000 0.0000 0.0000
Fe 3.0194 3.0194 -3.0194
Fe 3.0194 -3.0194 3.0194
Fe 6.0389 0.0000 0.0000
Fe 9.0583 1.5097 0.0000
Fe 6.0389 -3.0194 4.5291
Fe 4.5291 6.0389 -3.0194
Fe 4.5291 0.0000 3.0194
Fe 3.0194 4.5291 0.0000
Fe 6.0389 3.0194 1.5097
Fe -3.0194 3.0194 3.0194
Fe 0.0000 6.0389 0.0000
Fe 0.0000 0.0000 6.0389
Fe 3.0194 3.0194 3.0194
Fe 0.0000 3.0194 4.5291
Fe 3.0194 1.5097 6.0389
Fe 1.5097 6.0389 3.0194
Fe 1.5097 0.0000 9.0583
Fe 0.0000 9.0583 1.5097
Fe -3.0194 4.5291 6.0389
O 1.8154 -0.2715 0.7318
O 7.2429 3.7512 -3.2910
O 7.8542 0.2715 0.7318
O 7.2429 -2.2877 3.2910
O 5.7673 -0.7318 1.8154
O 9.3298 -1.2041 2.2877
O 0.7318 1.8154 -0.2715
O 8.3265 2.7479 -1.2041
O 3.7512 3.2910 -1.2041
O 5.3071 1.8154 0.2715
O -0.2715 0.7318 1.8154
O 3.2910 -1.2041 3.7512
O 5.7673 5.3071 -1.8154
O 3.2910 1.2041 2.2877
O 3.7512 -3.2910 7.2429
O 5.3071 -1.8154 5.7673
O 2.2877 3.2910 1.2041
O 6.7706 4.2235 0.2715
O 3.2910 7.2429 -2.2877
O 5.7673 0.7318 4.2235
O 1.8154 5.7673 -0.7318
O 7.2429 2.2877 2.7479
O 1.2041 2.2877 3.2910
O 1.8154 0.2715 5.3071
O 4.2235 5.7673 0.7318
O 4.8348 3.7512 2.7479
O -1.2041 3.7512 3.2910
O 4.2235 0.2715 6.7706
O 0.2715 5.3071 1.8154
O 2.7479 -1.2041 8.3265
O -0.7318 1.8154 5.7673
O 3.7512 2.7479 4.8348
O 0.7318 7.8542 0.2715
O 2.2877 9.3298 -1.2041
O 2.7479 4.8348 3.7512
O 0.2715 0.7318 7.8542
O 2.7479 7.2429 2.2877
O 6.3104 5.3071 4.2235
O 0.7318 4.2235 5.7673
O 2.2877 2.7479 7.2429
O -2.2877 3.2910 7.2429
O 5.3071 4.2235 6.3104
O -3.2910 7.2429 3.7512
O 0.2715 6.7706 4.2235
O -1.2041 8.3265 2.7479
O -1.8154 5.7673 5.3071
O -1.2041 2.2877 9.3298
O 4.2235 6.3104 5.3071
```